No. 1
Below is a geometry-optimized Rb3AgBi structure, with properties calculated at the GGA-PBE level.

Cell and atoms, written as CIF:
```
data_Rb3AgBi
_cell_length_a 16.343
_cell_length_b 8.232
_cell_length_c 8.601
_cell_angle_alpha 90.00
_cell_angle_beta 121.62
_cell_angle_gamma 90.00
_symmetry_space_group_name_H-M 'C 1 2 1'
_symmetry_Int_Tables_number 5
loop_
_symmetry_equiv_pos_as_xyz
'x,y,z'
'-x,y,-z'
'x+1/2,y+1/2,z'
'-x+1/2,y+1/2,-z'
loop_
_atom_site_label
_atom_site_fract_x
_atom_site_fract_y
_atom_site_fract_z
Rb1 0.006 0.000 0.254
Rb2 0.006 0.500 0.257
Rb3 0.250 0.245 0.826
Ag1 0.250 0.494 0.500
Bi1 0.250 0.244 0.273
```

Properties
- ΔE to the lowest computed polymorph (meV per atom) = 0.0
- M_tot (μB/f.u.) = 0.71


No. 2
Below is a geometry-optimized Cs2CdBr4 structure, with properties calculated at the GGA-PBE level.

Cell and atoms, written as CIF:
```
data_Cs2CdBr4
_cell_length_a 8.116
_cell_length_b 7.936
_cell_length_c 10.281
_cell_angle_alpha 90.00
_cell_angle_beta 108.88
_cell_angle_gamma 90.00
_symmetry_space_group_name_H-M 'P 1 21/m 1'
_symmetry_Int_Tables_number 11
loop_
_symmetry_equiv_pos_as_xyz
'x,y,z'
'-x,-y,-z'
'-x,y+1/2,-z'
'x,-y+1/2,z'
loop_
_atom_site_label
_atom_site_fract_x
_atom_site_fract_y
_atom_site_fract_z
Cs1 0.215 0.250 0.050
Cs2 0.284 0.250 0.573
Cd1 0.217 0.750 0.793
Br1 0.002 0.507 0.268
Br2 0.388 0.750 0.059
Br3 0.415 0.750 0.635
```

Properties
- M_tot (μB/f.u.) = 0.00


No. 3
Below is a geometry-optimized CaAgCl structure, with properties calculated at the GGA-PBE level.

Cell and atoms, written as CIF:
```
data_CaAgCl
_cell_length_a 4.0200
_cell_length_b 4.0200
_cell_length_c 6.5990
_cell_angle_alpha 90.00
_cell_angle_beta 90.00
_cell_angle_gamma 120.00
_symmetry_space_group_name_H-M 'P 3 m 1'
_symmetry_Int_Tables_number 156
loop_
_symmetry_equiv_pos_as_xyz
'x,y,z'
'-y,x-y,z'
'-x+y,-x,z'
'-y,-x,z'
'-x+y,y,z'
'x,x-y,z'
loop_
_atom_site_label
_atom_site_fract_x
_atom_site_fract_y
_atom_site_fract_z
Ca1 0.0000 0.0000 0.0000
Ag1 0.3333 0.6667 0.6945
Cl1 0.6667 0.3333 0.2246
```

Properties
- ΔE to the lowest computed polymorph (meV per atom) = 0.0
- M_tot (μB/f.u.) = 0.00


No. 4
Below is a geometry-optimized CsZnTeN2 structure, with properties calculated at the GGA-PBE level.

Cell and atoms, written as CIF:
```
data_CsZnTeN2
_cell_length_a 4.552
_cell_length_b 4.552
_cell_length_c 5.152
_cell_angle_alpha 90.00
_cell_angle_beta 90.00
_cell_angle_gamma 90.00
_symmetry_space_group_name_H-M 'P 4/m m m'
_symmetry_Int_Tables_number 123
_symmetry_space_group_name_Hall '-P 4 2'
loop_
_atom_site_label
_atom_site_fract_x
_atom_site_fract_y
_atom_site_fract_z
Cs1 0.000 0.000 0.000
Zn1 0.500 0.500 0.500
Te1 0.500 0.500 0.000
N1 0.000 0.500 0.500
```

Properties
- ΔE to the lowest computed polymorph (meV per atom) = 0.0
- M_tot (μB/f.u.) = 4.03


No. 5
Below is a geometry-optimized Mn3Br structure, with properties calculated at the GGA-PBE level.

Cell and atoms, written as CIF:
```
data_Mn3Br
_cell_length_a 3.160
_cell_length_b 3.120
_cell_length_c 7.329
_cell_angle_alpha 90.00
_cell_angle_beta 90.13
_cell_angle_gamma 90.00
_symmetry_space_group_name_H-M 'P 1 2/m 1'
_symmetry_Int_Tables_number 10
loop_
_symmetry_equiv_pos_as_xyz
'x,y,z'
'-x,-y,-z'
'-x,y,-z'
'x,-y,z'
loop_
_atom_site_label
_atom_site_fract_x
_atom_site_fract_y
_atom_site_fract_z
Mn1 0.000 0.000 0.000
Mn2 0.499 0.500 0.798
Br1 0.500 0.000 0.500
```

Properties
- ΔE to the lowest computed polymorph (meV per atom) = 0.0
- M_tot (μB/f.u.) = 4.47


No. 6
Below is a geometry-optimized BaCu4Rh structure, with properties calculated at the GGA-PBE level.

Cell and atoms, written as CIF:
```
data_BaCu4Rh
_cell_length_a 7.374
_cell_length_b 7.374
_cell_length_c 7.374
_cell_angle_alpha 90.00
_cell_angle_beta 90.00
_cell_angle_gamma 90.00
_symmetry_space_group_name_H-M 'F -4 3 m'
_symmetry_Int_Tables_number 216
_symmetry_space_group_name_Hall 'F -4 2 3'
loop_
_atom_site_label
_atom_site_fract_x
_atom_site_fract_y
_atom_site_fract_z
Ba1 0.000 0.000 0.000
Cu1 0.123 0.123 0.623
Rh1 0.250 0.250 0.250
```

Properties
- M_tot (μB/f.u.) = 0.00


No. 7
Below is a geometry-optimized Zr2GaCo2 structure, with properties calculated at the GGA-PBE level.

Cell and atoms, written as CIF:
```
data_Zr2GaCo2
_cell_length_a 9.048
_cell_length_b 5.033
_cell_length_c 7.318
_cell_angle_alpha 90.00
_cell_angle_beta 105.44
_cell_angle_gamma 90.00
_symmetry_space_group_name_H-M 'C 1 2/c 1'
_symmetry_Int_Tables_number 15
loop_
_symmetry_equiv_pos_as_xyz
'x,y,z'
'-x,-y,-z'
'-x,y,-z+1/2'
'x,-y,z+1/2'
'x+1/2,y+1/2,z'
'-x+1/2,-y+1/2,-z'
'-x+1/2,y+1/2,-z+1/2'
'x+1/2,-y+1/2,z+1/2'
loop_
_atom_site_label
_atom_site_fract_x
_atom_site_fract_y
_atom_site_fract_z
Zr1 0.148 0.157 0.148
Ga1 0.000 0.340 0.750
Co1 0.139 0.356 0.506
```

Properties
- M_tot (μB/f.u.) = 0.00


No. 8
Below is a geometry-optimized Fe2NiBiSb structure, with properties calculated at the GGA-PBE level.

Cell and atoms, written as CIF:
```
data_Fe2NiBiSb
_cell_length_a 4.638
_cell_length_b 4.638
_cell_length_c 4.907
_cell_angle_alpha 90.00
_cell_angle_beta 90.00
_cell_angle_gamma 90.00
_symmetry_space_group_name_H-M 'P 4/m m m'
_symmetry_Int_Tables_number 123
_symmetry_space_group_name_Hall '-P 4 2'
loop_
_atom_site_label
_atom_site_fract_x
_atom_site_fract_y
_atom_site_fract_z
Fe1 0.000 0.500 0.000
Ni1 0.000 0.000 0.000
Bi1 0.000 0.000 0.500
Sb1 0.500 0.500 0.500
```

Properties
- M_tot (μB/f.u.) = 6.36


No. 9
Below is a geometry-optimized K2TlBTe structure, with properties calculated at the GGA-PBE level.

Cell and atoms, written as CIF:
```
data_K2TlBTe
_cell_length_a 6.750
_cell_length_b 6.750
_cell_length_c 4.474
_cell_angle_alpha 90.00
_cell_angle_beta 90.00
_cell_angle_gamma 90.00
_symmetry_space_group_name_H-M 'P 4/m m m'
_symmetry_Int_Tables_number 123
_symmetry_space_group_name_Hall '-P 4 2'
loop_
_atom_site_label
_atom_site_fract_x
_atom_site_fract_y
_atom_site_fract_z
K1 0.000 0.500 0.000
Tl1 0.000 0.000 0.500
B1 0.500 0.500 0.500
Te1 0.500 0.500 0.000
```

Properties
- M_tot (μB/f.u.) = 0.00


No. 10
Below is a geometry-optimized Tb3Er5 structure, with properties calculated at the GGA-PBE level.

Cell and atoms, written as CIF:
```
data_Tb3Er5
_cell_length_a 3.601
_cell_length_b 5.579
_cell_length_c 12.466
_cell_angle_alpha 90.00
_cell_angle_beta 90.00
_cell_angle_gamma 90.00
_symmetry_space_group_name_H-M 'P m m 2'
_symmetry_Int_Tables_number 25
loop_
_symmetry_equiv_pos_as_xyz
'x,y,z'
'-x,-y,z'
'-x,y,z'
'x,-y,z'
loop_
_atom_site_label
_atom_site_fract_x
_atom_site_fract_y
_atom_site_fract_z
Tb1 0.000 0.000 0.000
Tb2 0.000 0.500 0.170
Tb3 0.500 0.000 0.253
Er1 0.000 0.000 0.503
Er2 0.000 0.500 0.669
Er3 0.500 0.000 0.751
Er4 0.500 0.500 0.421
Er5 0.500 0.500 0.917
```

Properties
- M_tot (μB/f.u.) = 0.00


No. 11
Below is a geometry-optimized Pu2TlSn structure, with properties calculated at the GGA-PBE level.

Cell and atoms, written as CIF:
```
data_Pu2TlSn
_cell_length_a 3.4090
_cell_length_b 3.4090
_cell_length_c 32.7436
_cell_angle_alpha 90.00
_cell_angle_beta 90.00
_cell_angle_gamma 120.00
_symmetry_space_group_name_H-M 'R -3 m'
_symmetry_Int_Tables_number 166
_symmetry_space_group_name_Hall '-R 3 2"'
loop_
_atom_site_label
_atom_site_fract_x
_atom_site_fract_y
_atom_site_fract_z
Pu1 0.0000 0.0000 0.2479
Tl1 0.0000 0.0000 0.0000
Sn1 0.0000 0.0000 0.5000
```

Properties
- ΔE to the lowest computed polymorph (meV per atom) = 173.3
- M_tot (μB/f.u.) = 12.15


No. 12
Below is a geometry-optimized Nd2UReN6 structure, with properties calculated at the GGA-PBE level.

Cell and atoms, written as CIF:
```
data_Nd2UReN6
_cell_length_a 5.780
_cell_length_b 5.798
_cell_length_c 9.906
_cell_angle_alpha 90.00
_cell_angle_beta 124.77
_cell_angle_gamma 90.00
_symmetry_space_group_name_H-M 'P 1 21/c 1'
_symmetry_Int_Tables_number 14
loop_
_symmetry_equiv_pos_as_xyz
'x,y,z'
'-x,-y,-z'
'-x,y+1/2,-z+1/2'
'x,-y+1/2,z+1/2'
loop_
_atom_site_label
_atom_site_fract_x
_atom_site_fract_y
_atom_site_fract_z
Nd1 0.235 0.039 0.248
U1 0.500 0.000 0.000
Re1 0.000 0.000 0.500
N1 0.161 0.220 0.952
N2 0.221 0.711 0.951
N3 0.327 0.017 0.738
```

Properties
- M_tot (μB/f.u.) = 0.01


No. 13
Below is a geometry-optimized LiAl8Rh2 structure, with properties calculated at the GGA-PBE level.

Cell and atoms, written as CIF:
```
data_LiAl8Rh2
_cell_length_a 4.615
_cell_length_b 5.161
_cell_length_c 8.022
_cell_angle_alpha 107.41
_cell_angle_beta 105.30
_cell_angle_gamma 93.79
_symmetry_space_group_name_H-M 'P 1'
_symmetry_Int_Tables_number 1
loop_
_symmetry_equiv_pos_as_xyz
'x,y,z'
loop_
_atom_site_label
_atom_site_fract_x
_atom_site_fract_y
_atom_site_fract_z
Li1 0.000 0.000 0.000
Al1 0.302 0.571 0.367
Al2 0.316 0.077 0.384
Al3 0.408 0.695 0.000
Al4 0.469 0.042 0.792
Al5 0.678 0.250 0.208
Al6 0.891 0.494 0.999
Al7 0.934 0.202 0.630
Al8 0.934 0.694 0.617
Rh1 0.480 0.485 0.688
Rh2 0.792 0.797 0.311
```

Properties
- ΔE to the lowest computed polymorph (meV per atom) = 0.0
- M_tot (μB/f.u.) = 0.00


No. 14
Below is a geometry-optimized Hf4Sb2H structure, with properties calculated at the GGA-PBE level.

Cell and atoms, written as CIF:
```
data_Hf4Sb2H
_cell_length_a 6.714
_cell_length_b 5.873
_cell_length_c 7.254
_cell_angle_alpha 90.00
_cell_angle_beta 105.75
_cell_angle_gamma 90.00
_symmetry_space_group_name_H-M 'P 1 21/m 1'
_symmetry_Int_Tables_number 11
loop_
_symmetry_equiv_pos_as_xyz
'x,y,z'
'-x,-y,-z'
'-x,y+1/2,-z'
'x,-y+1/2,z'
loop_
_atom_site_label
_atom_site_fract_x
_atom_site_fract_y
_atom_site_fract_z
Hf1 0.011 0.004 0.251
Hf2 0.368 0.250 0.099
Hf3 0.374 0.250 0.585
Sb1 0.274 0.750 0.572
Sb2 0.283 0.750 0.067
H1 0.218 0.250 0.802
```

Properties
- ΔE to the lowest computed polymorph (meV per atom) = 14.0
- M_tot (μB/f.u.) = 0.00


No. 15
Below is a geometry-optimized SmSnHgCl6 structure, with properties calculated at the GGA-PBE level.

Cell and atoms, written as CIF:
```
data_SmSnHgCl6
_cell_length_a 7.0500
_cell_length_b 7.0500
_cell_length_c 8.9474
_cell_angle_alpha 90.00
_cell_angle_beta 90.00
_cell_angle_gamma 120.00
_symmetry_space_group_name_H-M 'P 3 1 2'
_symmetry_Int_Tables_number 149
loop_
_symmetry_equiv_pos_as_xyz
'x,y,z'
'-y,x-y,z'
'-x+y,-x,z'
'-y,-x,-z'
'-x+y,y,-z'
'x,x-y,-z'
loop_
_atom_site_label
_atom_site_fract_x
_atom_site_fract_y
_atom_site_fract_z
Sm1 0.0000 0.0000 0.0000
Sn1 0.6667 0.3333 0.0000
Hg1 0.3333 0.6667 0.5000
Cl1 0.3408 0.0450 0.1708
```

Properties
- M_tot (μB/f.u.) = 0.05


No. 16
Below is a geometry-optimized BaScZn2 structure, with properties calculated at the GGA-PBE level.

Cell and atoms, written as CIF:
```
data_BaScZn2
_cell_length_a 8.196
_cell_length_b 4.728
_cell_length_c 6.646
_cell_angle_alpha 90.00
_cell_angle_beta 114.18
_cell_angle_gamma 90.00
_symmetry_space_group_name_H-M 'C 1 2/m 1'
_symmetry_Int_Tables_number 12
loop_
_symmetry_equiv_pos_as_xyz
'x,y,z'
'-x,-y,-z'
'-x,y,-z'
'x,-y,z'
'x+1/2,y+1/2,z'
'-x+1/2,-y+1/2,-z'
'-x+1/2,y+1/2,-z'
'x+1/2,-y+1/2,z'
loop_
_atom_site_label
_atom_site_fract_x
_atom_site_fract_y
_atom_site_fract_z
Ba1 0.000 0.000 0.000
Sc1 0.000 0.500 0.500
Zn1 0.189 0.000 0.567
```

Properties
- ΔE to the lowest computed polymorph (meV per atom) = 61.1
- M_tot (μB/f.u.) = 0.00


No. 17
Below is a geometry-optimized AlNiS2N structure, with properties calculated at the GGA-PBE level.

Cell and atoms, written as CIF:
```
data_AlNiS2N
_cell_length_a 4.668
_cell_length_b 4.668
_cell_length_c 3.424
_cell_angle_alpha 90.00
_cell_angle_beta 90.00
_cell_angle_gamma 90.00
_symmetry_space_group_name_H-M 'P 4/m m m'
_symmetry_Int_Tables_number 123
_symmetry_space_group_name_Hall '-P 4 2'
loop_
_atom_site_label
_atom_site_fract_x
_atom_site_fract_y
_atom_site_fract_z
Al1 0.000 0.000 0.000
Ni1 0.500 0.500 0.500
S1 0.000 0.500 0.500
N1 0.500 0.500 0.000
```

Properties
- ΔE to the lowest computed polymorph (meV per atom) = 0.0
- M_tot (μB/f.u.) = 0.47


No. 18
Below is a geometry-optimized LaScCd structure, with properties calculated at the GGA-PBE level.

Cell and atoms, written as CIF:
```
data_LaScCd
_cell_length_a 5.296
_cell_length_b 6.328
_cell_length_c 6.361
_cell_angle_alpha 62.68
_cell_angle_beta 65.40
_cell_angle_gamma 65.35
_symmetry_space_group_name_H-M 'P 1'
_symmetry_Int_Tables_number 1
loop_
_symmetry_equiv_pos_as_xyz
'x,y,z'
loop_
_atom_site_label
_atom_site_fract_x
_atom_site_fract_y
_atom_site_fract_z
La1 0.000 0.000 0.000
La2 0.300 0.063 0.337
Sc1 0.635 0.549 0.180
Sc2 0.923 0.579 0.573
Cd1 0.328 0.516 0.825
Cd2 0.630 0.081 0.660
```

Properties
- ΔE to the lowest computed polymorph (meV per atom) = 54.2
- M_tot (μB/f.u.) = 0.00


No. 19
Below is a geometry-optimized AlFeRu2 structure, with properties calculated at the GGA-PBE level.

Cell and atoms, written as CIF:
```
data_AlFeRu2
_cell_length_a 6.976
_cell_length_b 6.976
_cell_length_c 4.891
_cell_angle_alpha 90.00
_cell_angle_beta 90.00
_cell_angle_gamma 90.00
_symmetry_space_group_name_H-M 'I -4 2 d'
_symmetry_Int_Tables_number 122
_symmetry_space_group_name_Hall 'I -4 2bw'
loop_
_atom_site_label
_atom_site_fract_x
_atom_site_fract_y
_atom_site_fract_z
Al1 0.000 0.000 0.000
Fe1 0.000 0.000 0.500
Ru1 0.192 0.250 0.625
```

Properties
- M_tot (μB/f.u.) = 0.01


No. 20
Below is a geometry-optimized ZrNb2PRu structure, with properties calculated at the GGA-PBE level.

Cell and atoms, written as CIF:
```
data_ZrNb2PRu
_cell_length_a 4.753
_cell_length_b 4.753
_cell_length_c 5.041
_cell_angle_alpha 90.00
_cell_angle_beta 90.00
_cell_angle_gamma 90.00
_symmetry_space_group_name_H-M 'P 4/m m m'
_symmetry_Int_Tables_number 123
_symmetry_space_group_name_Hall '-P 4 2'
loop_
_atom_site_label
_atom_site_fract_x
_atom_site_fract_y
_atom_site_fract_z
Zr1 0.000 0.000 0.000
Nb1 0.000 0.500 0.500
P1 0.500 0.500 0.000
Ru1 0.000 0.000 0.500
```

Properties
- M_tot (μB/f.u.) = 0.00


Number 1: electronic total energy -2.05 eV per atom. Number 2: electronic total energy -2.76 eV per atom. Number 3: electronic total energy -3.25 eV per atom. Number 4: electronic total energy -2.95 eV per atom. Number 5: electronic total energy -6.96 eV per atom. Number 6: electronic total energy -4.08 eV per atom. Number 7: electronic total energy -7.32 eV per atom. Number 8: electronic total energy -5.35 eV per atom. Number 9: electronic total energy -2.39 eV per atom. Number 10: electronic total energy -4.58 eV per atom. Number 11: electronic total energy -8.79 eV per atom. Number 12: electronic total energy -9.27 eV per atom. Number 13: electronic total energy -4.67 eV per atom. Number 14: electronic total energy -7.76 eV per atom. Number 15: electronic total energy -3.59 eV per atom. Number 16: electronic total energy -2.83 eV per atom. Number 17: electronic total energy -4.76 eV per atom. Number 18: electronic total energy -4.18 eV per atom. Number 19: electronic total energy -7.25 eV per atom. Number 20: electronic total energy -7.85 eV per atom.